Record 1
A relaxed structure of AcPuCuPb, computed with PBE-GGA.

Lattice parameters (Å, degrees): 7.7714 7.7714 7.7714 90.00 90.00 90.00
With the nearest neighbours (Å) after each atom.
Space group F-43m (No. 216)
Asymmetric unit:
1 Ac 0.0000 0.0000 0.0000  4 Pb 3.37, 4 Cu 3.37
2 Pu 0.0000 0.0000 0.5000  4 Pb 3.37, 4 Cu 3.37
3 Cu 0.2500 0.2500 0.7500  4 Ac 3.37, 4 Pu 3.37
4 Pb 0.2500 0.2500 0.2500  4 Pu 3.37, 4 Ac 3.37

Computed properties:
- Crystal system: cubic
- Magnetization: 24.79 μB/cell
- Formation energy: -0.059 eV per atom

Record 2
A relaxed structure of Y4TlO, computed with PBE-GGA.

Lattice parameters (Å, degrees): 8.8575 15.1902 6.4105 90.00 129.05 90.00
With the nearest neighbours (Å) after each atom.
Space group C2/c (No. 15)
Asymmetric unit:
1 Y 0.1211 0.2087 0.1073  1 O 2.26
2 Y 0.2433 0.4373 0.3685  1 O 2.20
3 Tl 0.0000 0.3859 0.7500  8 Y 3.19-3.25
4 O 0.0000 0.1183 0.2500  4 Y 2.20-2.26

Computed properties:
- Crystal system: monoclinic
- Magnetization: 0.00 μB/cell
- Uncorrected formation energy: -1.008 eV per atom

Question: Among the records above, which one has the lowest magnetization?
Answer: Y4TlO